Record 1
# LaBe2F (PBE, relaxed)
# Formation energy (no corrections) in eV per atom: -0.164
# Symmetry: I-42d, No. 122
# Density in g cm⁻³: 4.216
data_LaBe2F
_chemical_formula_sum 'La4 Be8 F4'
_cell_length_a 5.811
_cell_length_b 5.811
_cell_length_c 8.210
_cell_angle_alpha 90.00
_cell_angle_beta 90.00
_cell_angle_gamma 90.00
_symmetry_space_group_name_H-M 'P 1'
_symmetry_Int_Tables_number 1
_symmetry_space_group_name_Hall 'P 1'
loop_
_atom_site_label
_atom_site_type_symbol
_atom_site_fract_x
_atom_site_fract_y
_atom_site_fract_z
La1 La 0.000 0.000 0.000
La2 La 0.000 0.500 0.250
La3 La 0.500 0.000 0.750
La4 La 0.500 0.500 0.500
Be1 Be 0.018 0.750 0.625
Be2 Be 0.250 0.018 0.375
Be3 Be 0.250 0.482 0.875
Be4 Be 0.482 0.750 0.125
Be5 Be 0.518 0.250 0.125
Be6 Be 0.750 0.518 0.875
Be7 Be 0.750 0.982 0.375
Be8 Be 0.982 0.250 0.625
F1 F 0.000 0.000 0.500
F2 F 0.000 0.500 0.750
F3 F 0.500 0.000 0.250
F4 F 0.500 0.500 0.000

Record 2
# LaBeN2F (PBE, relaxed)
# Formation energy (no corrections) in eV per atom: 0.449
# Symmetry: P4/mmm, No. 123
# Density in g cm⁻³: 3.658
data_LaBeN2F
_chemical_formula_sum 'La1 Be1 N2 F1'
_cell_length_a 4.417
_cell_length_b 4.417
_cell_length_c 4.535
_cell_angle_alpha 90.00
_cell_angle_beta 90.00
_cell_angle_gamma 90.00
_symmetry_space_group_name_H-M 'P 1'
_symmetry_Int_Tables_number 1
_symmetry_space_group_name_Hall 'P 1'
loop_
_atom_site_label
_atom_site_type_symbol
_atom_site_fract_x
_atom_site_fract_y
_atom_site_fract_z
La1 La 0.000 0.000 0.000
Be1 Be 0.500 0.500 0.500
N1 N 0.000 0.500 0.000
N2 N 0.500 0.000 0.000
F1 F 0.000 0.000 0.500

Record 3
# LaBeNF2 (PBE, relaxed)
# Formation energy (no corrections) in eV per atom: -2.285
# Symmetry: P4/mmm, No. 123
# Density in g cm⁻³: 6.096
data_LaBeNF2
_chemical_formula_sum 'La1 Be1 N1 F2'
_cell_length_a 3.705
_cell_length_b 3.705
_cell_length_c 3.967
_cell_angle_alpha 90.00
_cell_angle_beta 90.00
_cell_angle_gamma 90.00
_symmetry_space_group_name_H-M 'P 1'
_symmetry_Int_Tables_number 1
_symmetry_space_group_name_Hall 'P 1'
loop_
_atom_site_label
_atom_site_type_symbol
_atom_site_fract_x
_atom_site_fract_y
_atom_site_fract_z
La1 La 0.000 0.000 0.000
Be1 Be 0.500 0.500 0.500
N1 N 0.500 0.500 0.000
F1 F 0.000 0.500 0.500
F2 F 0.500 0.000 0.500

Record 4
# LaBeN2F (PBE, relaxed)
# Formation energy (no corrections) in eV per atom: -1.211
# Symmetry: P4/mmm, No. 123
# Density in g cm⁻³: 6.011
data_LaBeN2F
_chemical_formula_sum 'La1 Be1 N2 F1'
_cell_length_a 3.606
_cell_length_b 3.606
_cell_length_c 4.141
_cell_angle_alpha 90.00
_cell_angle_beta 90.00
_cell_angle_gamma 90.00
_symmetry_space_group_name_H-M 'P 1'
_symmetry_Int_Tables_number 1
_symmetry_space_group_name_Hall 'P 1'
loop_
_atom_site_label
_atom_site_type_symbol
_atom_site_fract_x
_atom_site_fract_y
_atom_site_fract_z
La1 La 0.000 0.000 0.000
Be1 Be 0.500 0.500 0.500
N1 N 0.000 0.500 0.500
N2 N 0.500 0.000 0.500
F1 F 0.500 0.500 0.000